1.
Compound: Mn2AgP
Source: the Alexandria database
Functional: PBE
Structure: relaxed

Energy relative to the elements, eV per formula unit: 0.63
Symmetry: R3m

abc: 8.466 8.466 8.466
angles: 19.31 19.31 19.31
Fractional positions:
Mn (0.000, 0.000, 0.000)
Mn (0.255, 0.255, 0.255)
Ag (0.495, 0.495, 0.495)
P (0.729, 0.729, 0.729)

***

2.
Compound: Pm5Pa3Sb8
Source: the Alexandria database
Functional: PBE
Structure: relaxed

Formation energy from raw total energies, eV per formula unit: -14.5
Symmetry: R-3m

abc: 8.902 8.902 8.902
angles: 59.79 59.79 59.79
Fractional positions:
Pm (0.000, 0.000, 0.000)
Pm (0.000, 0.500, 0.500)
Pm (0.500, 0.000, 0.500)
Pm (0.500, 0.500, 0.000)
Pm (0.500, 0.500, 0.500)
Pa (0.000, 0.000, 0.500)
Pa (0.000, 0.500, 0.000)
Pa (0.500, 0.000, 0.000)
Sb (0.244, 0.750, 0.750)
Sb (0.248, 0.248, 0.248)
Sb (0.250, 0.250, 0.756)
Sb (0.250, 0.756, 0.250)
Sb (0.750, 0.244, 0.750)
Sb (0.750, 0.750, 0.244)
Sb (0.752, 0.752, 0.752)
Sb (0.756, 0.250, 0.250)

***

3.
Compound: CdSiP2
Source: the Alexandria database
Functional: PBE
Structure: relaxed

Formation energy from raw total energies, eV per formula unit: 1.3
Symmetry: C2/m

abc: 5.209 5.209 2.665
angles: 90.61 90.61 90.19
Fractional positions:
Cd (0.000, 0.000, 0.000)
Si (0.500, 0.500, 0.000)
P (0.000, 0.500, 0.000)
P (0.500, 0.000, 0.000)

***

4.
Compound: SmDy3Y2P6
Source: the Alexandria database
Functional: PBE
Structure: relaxed

Energy relative to the elements, eV per formula unit: -19.32
Symmetry: C2/m

abc: 6.973 6.973 6.975
angles: 99.58 99.58 120.00
Fractional positions:
Sm (0.000, 0.000, 0.000)
Dy (0.166, 0.834, 0.500)
Dy (0.500, 0.500, 0.500)
Dy (0.834, 0.166, 0.500)
Y (0.333, 0.667, 0.000)
Y (0.667, 0.333, 0.000)
P (0.084, 0.420, 0.253)
P (0.252, 0.252, 0.748)
P (0.420, 0.084, 0.253)
P (0.580, 0.916, 0.747)
P (0.748, 0.748, 0.252)
P (0.916, 0.580, 0.747)

***

5.
Compound: MgVIrPd
Source: the Alexandria database
Functional: PBE
Structure: relaxed

Energy relative to the elements, eV per formula unit: -1.40
Symmetry: F-43m

abc: 4.386 4.386 4.386
angles: 60.00 60.00 60.00
Fractional positions:
Mg (0.000, 0.000, 0.000)
V (0.500, 0.500, 0.500)
Ir (0.750, 0.750, 0.750)
Pd (0.250, 0.250, 0.250)

***

6.
Compound: NaLa2TlOs
Source: the Alexandria database
Functional: PBE
Structure: relaxed

Energy relative to the elements, eV per formula unit: -0.14
Symmetry: P4/mmm

abc: 5.558 5.558 5.446
angles: 90.00 90.00 90.00
Fractional positions:
Na (0.000, 0.000, 0.000)
La (0.000, 0.500, 0.500)
La (0.500, 0.000, 0.500)
Tl (0.500, 0.500, 0.000)
Os (0.500, 0.500, 0.500)

***

7.
Compound: Y2BTe
Source: the Alexandria database
Functional: PBE
Structure: relaxed

Formation energy from raw total energies, eV per formula unit: -2.7
Symmetry: R-3m

abc: 7.585 7.585 7.585
angles: 29.94 29.94 29.94
Fractional positions:
Y (0.234, 0.234, 0.234)
Y (0.766, 0.766, 0.766)
B (0.500, 0.500, 0.500)
Te (0.000, 0.000, 0.000)

***

8.
Compound: Pm5Pr3Rh2
Source: the Alexandria database
Functional: PBE
Structure: relaxed

Energy relative to the elements, eV per formula unit: -2.17
Symmetry: Ibam

abc: 10.152 10.152 10.152
angles: 116.78 82.39 132.98
Fractional positions:
Pm (0.009, 0.250, 0.759)
Pm (0.118, 0.236, 0.353)
Pm (0.250, 0.250, 0.000)
Pm (0.382, 0.736, 0.118)
Pm (0.491, 0.250, 0.241)
Pm (0.509, 0.750, 0.759)
Pm (0.618, 0.264, 0.882)
Pm (0.750, 0.750, 0.000)
Pm (0.882, 0.764, 0.647)
Pm (0.991, 0.750, 0.241)
Pr (0.132, 0.765, 0.897)
Pr (0.250, 0.750, 0.500)
Pr (0.368, 0.265, 0.633)
Pr (0.632, 0.735, 0.367)
Pr (0.750, 0.250, 0.500)
Pr (0.868, 0.235, 0.103)
Rh (0.135, 0.497, 0.633)
Rh (0.365, 0.997, 0.362)
Rh (0.635, 0.003, 0.638)
Rh (0.865, 0.503, 0.367)

***

9.
Compound: NaTl2Zn
Source: the Alexandria database
Functional: PBE
Structure: relaxed

Energy relative to the elements, eV per formula unit: 0.24
Symmetry: I-42d

abc: 6.747 6.747 6.747
angles: 103.06 103.06 123.23
Fractional positions:
Na (0.000, 0.000, 0.000)
Na (0.750, 0.250, 0.500)
Tl (0.168, 0.625, 0.043)
Tl (0.375, 0.418, 0.543)
Tl (0.582, 0.125, 0.957)
Tl (0.875, 0.832, 0.457)
Zn (0.250, 0.750, 0.500)
Zn (0.500, 0.500, 0.000)

***

10.
Compound: Hf3Cr2Ga4
Source: the Alexandria database
Functional: PBE
Structure: relaxed

Energy relative to the elements, eV per formula unit: -1.94
Symmetry: C2/m

abc: 6.136 6.136 7.905
angles: 108.08 108.08 33.78
Fractional positions:
Hf (0.000, 0.000, 0.000)
Hf (0.377, 0.377, 0.301)
Hf (0.623, 0.623, 0.699)
Cr (0.283, 0.283, 0.596)
Cr (0.717, 0.717, 0.404)
Ga (0.064, 0.064, 0.390)
Ga (0.300, 0.300, 0.923)
Ga (0.700, 0.700, 0.077)
Ga (0.936, 0.936, 0.610)

***

11.
Compound: CeDy2PuAs4
Source: the Alexandria database
Functional: PBE
Structure: relaxed

Energy relative to the elements, eV per formula unit: -11.05
Symmetry: P2/m

abc: 7.184 4.153 7.185
angles: 90.00 109.55 90.00
Fractional positions:
Ce (0.000, 0.000, 0.000)
Dy (0.000, 0.500, 0.500)
Dy (0.500, 0.000, 0.500)
Pu (0.500, 0.500, 0.000)
As (0.252, 0.000, 0.749)
As (0.252, 0.500, 0.253)
As (0.748, 0.000, 0.251)
As (0.748, 0.500, 0.747)

***

12.
Compound: ZrCoAu
Source: the Alexandria database
Functional: PBE
Structure: relaxed

Energy relative to the elements, eV per formula unit: -0.98
Symmetry: Cmcm

abc: 6.216 6.216 4.197
angles: 90.00 90.00 142.16
Fractional positions:
Zr (0.113, 0.887, 0.750)
Zr (0.887, 0.113, 0.250)
Co (0.247, 0.753, 0.250)
Co (0.753, 0.247, 0.750)
Au (0.411, 0.589, 0.750)
Au (0.589, 0.411, 0.250)

***

13.
Compound: PrNd12Y6
Source: the Alexandria database
Functional: PBE
Structure: relaxed

Energy relative to the elements, eV per formula unit: 2.47
Symmetry: R-3

abc: 8.737 8.737 8.737
angles: 89.09 89.09 89.09
Fractional positions:
Pr (0.000, 0.000, 0.000)
Nd (0.018, 0.199, 0.361)
Nd (0.199, 0.361, 0.018)
Nd (0.220, 0.464, 0.567)
Nd (0.361, 0.018, 0.199)
Nd (0.433, 0.780, 0.536)
Nd (0.464, 0.567, 0.220)
Nd (0.536, 0.433, 0.780)
Nd (0.567, 0.220, 0.464)
Nd (0.639, 0.982, 0.801)
Nd (0.780, 0.536, 0.433)
Nd (0.801, 0.639, 0.982)
Nd (0.982, 0.801, 0.639)
Y (0.099, 0.699, 0.260)
Y (0.260, 0.099, 0.699)
Y (0.301, 0.740, 0.901)
Y (0.699, 0.260, 0.099)
Y (0.740, 0.901, 0.301)
Y (0.901, 0.301, 0.740)

***

14.
Compound: NbSN
Source: the Alexandria database
Functional: PBE
Structure: relaxed

Formation energy from raw total energies, eV per formula unit: -2.1
Symmetry: P4/nmm

abc: 3.594 3.594 6.113
angles: 90.00 90.00 90.00
Fractional positions:
Nb (0.250, 0.250, 0.186)
Nb (0.750, 0.750, 0.814)
S (0.250, 0.250, 0.617)
S (0.750, 0.750, 0.383)
N (0.250, 0.750, 0.000)
N (0.750, 0.250, 0.000)

***

15.
Compound: La2TaAgO
Source: the Alexandria database
Functional: PBE
Structure: relaxed

Formation energy from raw total energies, eV per formula unit: -1.3
Symmetry: P4/mmm

abc: 6.003 6.003 3.899
angles: 90.00 90.00 90.00
Fractional positions:
La (0.000, 0.500, 0.000)
La (0.500, 0.000, 0.000)
Ta (0.000, 0.000, 0.000)
Ag (0.500, 0.500, 0.500)
O (0.000, 0.000, 0.500)

***

16.
Compound: MgCrSb
Source: the Alexandria database
Functional: PBE
Structure: relaxed

Formation energy from raw total energies, eV per formula unit: 0.4
Symmetry: P3m1

abc: 4.682 4.682 7.938
angles: 90.00 90.00 120.00
Fractional positions:
Mg (0.000, 0.000, 0.000)
Mg (0.333, 0.667, 0.480)
Cr (0.667, 0.333, 0.275)
Cr (0.667, 0.333, 0.561)
Sb (0.000, 0.000, 0.640)
Sb (0.333, 0.667, 0.130)

***

17.
Compound: In2TeCl
Source: the Alexandria database
Functional: PBE
Structure: relaxed

Formation energy from raw total energies, eV per formula unit: -1.5
Symmetry: C2/m

abc: 4.603 4.603 8.498
angles: 92.58 92.58 41.59
Fractional positions:
In (0.249, 0.249, 0.270)
In (0.751, 0.751, 0.730)
Te (0.500, 0.500, 0.000)
Cl (0.000, 0.000, 0.500)

***

18.
Compound: Ba3Sr2Au3
Source: the Alexandria database
Functional: PBE
Structure: relaxed

Energy relative to the elements, eV per formula unit: -4.21
Symmetry: Cm

abc: 7.837 7.837 15.920
angles: 91.65 91.65 48.73
Fractional positions:
Ba (0.000, 0.000, 0.000)
Ba (0.011, 0.011, 0.264)
Ba (0.213, 0.213, 0.636)
Ba (0.592, 0.592, 0.802)
Ba (0.698, 0.698, 0.133)
Ba (0.906, 0.906, 0.506)
Sr (0.282, 0.282, 0.943)
Sr (0.298, 0.298, 0.318)
Sr (0.618, 0.618, 0.443)
Sr (0.881, 0.881, 0.769)
Au (0.098, 0.098, 0.817)
Au (0.123, 0.123, 0.442)
Au (0.187, 0.187, 0.131)
Au (0.723, 0.723, 0.627)
Au (0.779, 0.779, 0.939)
Au (0.795, 0.795, 0.325)

***

19.
Compound: Li2Np2S5
Source: the Alexandria database
Functional: PBE
Structure: relaxed

Formation energy from raw total energies, eV per formula unit: -10.8
Symmetry: C2/m

abc: 7.152 7.152 8.170
angles: 120.81 120.81 34.85
Fractional positions:
Li (0.163, 0.163, 0.497)
Li (0.837, 0.837, 0.503)
Np (0.395, 0.395, 0.051)
Np (0.605, 0.605, 0.949)
S (0.000, 0.000, 0.000)
S (0.162, 0.162, 0.803)
S (0.380, 0.380, 0.671)
S (0.620, 0.620, 0.329)
S (0.838, 0.838, 0.197)

***

20.
Compound: Mg2FeAg
Source: the Alexandria database
Functional: PBE
Structure: relaxed

Energy relative to the elements, eV per formula unit: 0.68
Symmetry: I-4m2

abc: 5.137 5.137 5.137
angles: 134.15 134.15 66.86
Fractional positions:
Mg (0.000, 0.000, 0.000)
Mg (0.750, 0.250, 0.500)
Fe (0.500, 0.500, 0.000)
Ag (0.250, 0.750, 0.500)

***

no.,magnetization (Bohr magnetons per cell)
1,3.06
2,2.68
3,0.00
4,0.00
5,1.46
6,0.00
7,0.00
8,0.00
9,0.00
10,0.00
11,5.77
12,0.00
13,0.00
14,0.00
15,1.27
16,0.12
17,0.00
18,0.00
19,5.99
20,2.69